Record 1
Material: GdYBe2Si2
Method: DFT, PBE
State: relaxed

Properties
energy: -5.57 eV per atom

Lattice parameters (Å, degrees): 3.8839 3.8839 8.1099 90.00 90.00 120.00
Space group P-3m1 (No. 164)
Symmetry-distinct sites (fractional):
Gd (0.0000, 0.0000, 0.0000) x1
Y (0.0000, 0.0000, 0.5000) x1
Be (0.3333, 0.6667, 0.7487) x2
Si (0.3333, 0.6667, 0.2514) x2

Record 2
Material: TbNd2Ni2B2N3
Method: DFT, PBE
State: relaxed

Properties
energy: -7.46 eV per atom

Lattice parameters (Å, degrees): 3.588 3.588 20.203 90.00 90.00 90.00
Space group I4/mmm (No. 139)
Symmetry-distinct sites (fractional):
Tb (0.000, 0.000, 0.000) x2
Nd (0.000, 0.000, 0.375) x4
Ni (0.000, 0.500, 0.250) x4
B (0.000, 0.000, 0.191) x4
N (0.000, 0.000, 0.119) x4
N (0.000, 0.000, 0.500) x2

Record 3
Material: LuCoAsW
Method: DFT, PBE
State: relaxed

Properties
excess energy over the best structure of this formula in the dataset: 0.000 eV/atom

Lattice parameters (Å, degrees): 6.328 6.328 6.328 90.00 90.00 90.00
Space group F-43m (No. 216)
Symmetry-distinct sites (fractional):
Lu (0.000, 0.000, 0.000) x4
Co (0.250, 0.250, 0.750) x4
As (0.000, 0.000, 0.500) x4
W (0.250, 0.250, 0.250) x4